1.
An optimized crystal structure of ReIrOs2, computed with PBE-GGA.

Cell lengths 4.7979, 5.5092, 9.9758 Å; angles 90.00, 118.76, 90.00 degrees
Element x y z (fractional)
Re 0.4586 0.0005 0.6253
Os 0.5382 0.4985 0.3748
Os 0.0382 0.5015 0.8748
Os 0.4618 0.5015 0.6252
Ir 0.5434 0.2512 0.8758
Re 0.0414 0.0005 0.8747
Re 0.9586 0.9995 0.1253
Os 0.4569 0.2525 0.1254
Os 0.0431 0.2525 0.3746
Re 0.5414 0.9995 0.3747
Os 0.5431 0.7475 0.8746
Ir 0.4566 0.7488 0.1242
Ir 0.0434 0.7488 0.3758
Os 0.9618 0.4985 0.1252
Ir 0.9566 0.2512 0.6242
Os 0.9569 0.7475 0.6254

Values from the calculation:
* electronic total energy: -44.23 eV/f.u.
* formation energy from the elements: -0.46 eV per formula unit
* relative energy among the computed polymorphs: 0.0 meV per atom

2.
An optimized crystal structure of Tb2Cu3, computed with PBE-GGA.

Cell lengths 3.5983, 4.3044, 12.9744 Å; angles 90.00, 97.97, 90.00 degrees
Element x y z (fractional)
Cu 0.0226 0.2500 0.0452
Cu 0.8302 0.2500 0.6604
Tb 0.4292 0.2500 0.8584
Cu 0.9774 0.7500 0.9548
Tb 0.7036 0.2500 0.4072
Tb 0.5708 0.7500 0.1416
Cu 0.8828 0.7500 0.7656
Cu 0.1172 0.2500 0.2344
Tb 0.2964 0.7500 0.5928
Cu 0.1698 0.7500 0.3396

Values from the calculation:
* electronic total energy: -22.77 eV/f.u.
* formation energy from the elements: -1.22 eV per formula unit

3.
An optimized crystal structure of Pr4S5F, computed with PBE-GGA.

Cell lengths 4.0360, 7.5539, 9.7346 Å; angles 112.91, 101.96, 90.00 degrees
Element x y z (fractional)
S 0.8375 0.6066 0.6750
Pr 0.2776 0.7777 0.5552
Pr 0.0000 0.2513 0.0001
S 0.8375 0.0691 0.6750
S 0.1625 0.3934 0.3250
S 0.1625 0.9309 0.3250
F 0.5000 0.0000 0.0000
Pr 0.0000 0.7487 0.9999
S 0.5000 0.5000 0.0000
Pr 0.7224 0.2223 0.4448

Values from the calculation:
* electronic total energy: -62.95 eV/f.u.

4.
An optimized crystal structure of InCBr2, computed with PBE-GGA.

Cell lengths 9.4967, 9.4967, 9.4967 Å; angles 21.43, 21.43, 21.43 degrees
Element x y z (fractional)
Br 0.8839 0.8839 0.8839
In 0.0000 0.0000 0.0000
C 0.5000 0.5000 0.5000
Br 0.1161 0.1161 0.1161

Values from the calculation:
* electronic total energy: -10.65 eV/f.u.
* relative energy among the computed polymorphs: 138.5 meV per atom

5.
An optimized crystal structure of LaSn2As2, computed with PBE-GGA.

Cell lengths 7.7890, 7.7890, 4.2029 Å; angles 90.00, 90.00, 90.00 degrees
Element x y z (fractional)
Sn 0.3346 0.1654 0.5000
As 0.8669 0.6331 0.0000
La 0.0000 0.0000 0.0000
Sn 0.1654 0.6654 0.5000
As 0.6331 0.1331 0.0000
As 0.3669 0.8669 0.0000
Sn 0.6654 0.8346 0.5000
Sn 0.8346 0.3346 0.5000
La 0.5000 0.5000 0.0000
As 0.1331 0.3669 0.0000

Values from the calculation:
* electronic total energy: -24.37 eV/f.u.
* formation energy from the elements: -2.14 eV per formula unit

6.
An optimized crystal structure of HfIrS3, computed with PBE-GGA.

Cell lengths 4.5838, 4.5838, 4.5838 Å; angles 90.00, 90.00, 90.00 degrees
Element x y z (fractional)
S 0.5000 0.0000 0.0000
Ir 0.0000 0.0000 0.0000
S 0.0000 0.5000 0.0000
Hf 0.5000 0.5000 0.5000
S 0.0000 0.0000 0.5000

Values from the calculation:
* electronic total energy: -30.05 eV/f.u.
* relative energy among the computed polymorphs: 0.0 meV per atom

7.
An optimized crystal structure of CoIr2Pd, computed with PBE-GGA.

Cell lengths 2.7152, 2.7152, 8.8561 Å; angles 81.18, 81.18, 60.00 degrees
Element x y z (fractional)
Ir 0.2553 0.2553 0.2341
Ir 0.7447 0.7447 0.7659
Pd 0.5000 0.5000 0.5000
Co 0.0000 0.0000 0.0000

Values from the calculation:
* electronic total energy: -29.80 eV/f.u.
* formation energy from the elements: 0.22 eV per formula unit

8.
An optimized crystal structure of Si2SnRhO, computed with PBE-GGA.

Cell lengths 4.1669, 3.6758, 5.7608 Å; angles 90.00, 100.09, 90.00 degrees
Element x y z (fractional)
O 0.0771 0.5000 0.4310
Sn 0.3592 0.0000 0.5788
Rh 0.9458 0.0000 0.9096
Si 0.8746 0.5000 0.1486
Si 0.4761 0.0000 0.1253

Values from the calculation:
* electronic total energy: -30.22 eV/f.u.
* relative energy among the computed polymorphs: 174.1 meV per atom